Fe9Ni4Pd11: relaxed, PBE.

a = 9.796 Å, b = 9.796 Å, c = 3.768 Å
α = 90.00°, β = 90.00°, γ = 112.15°
Element x y z (fractional)
Fe 0.000 0.000 0.000
Fe 0.127 0.632 0.000
Fe 0.294 0.453 0.000
Fe 0.368 0.873 0.000
Fe 0.453 0.294 0.000
Fe 0.547 0.706 0.000
Fe 0.632 0.127 0.000
Fe 0.706 0.547 0.000
Fe 0.873 0.368 0.000
Ni 0.051 0.246 0.000
Ni 0.246 0.051 0.000
Ni 0.754 0.949 0.000
Ni 0.949 0.754 0.000
Pd 0.088 0.424 0.500
Pd 0.149 0.851 0.500
Pd 0.228 0.228 0.500
Pd 0.330 0.670 0.500
Pd 0.424 0.088 0.500
Pd 0.500 0.500 0.500
Pd 0.576 0.912 0.500
Pd 0.670 0.330 0.500
Pd 0.772 0.772 0.500
Pd 0.851 0.149 0.500
Pd 0.912 0.576 0.500

Values from the calculation:
- total magnetic moment (μB/cell) = 33.887
- total DFT energy (no corrections) (eV per atom) = -6.477
- DOS(E_F) (states/eV/atom) = 0.93
- density (g/cm³) = 9.5

***

Fe2Ni2Pd3: relaxed, PBE.

a = 4.593 Å, b = 4.593 Å, c = 5.968 Å
α = 98.87°, β = 98.87°, γ = 49.03°
Element x y z (fractional)
Fe 0.209 0.209 0.168
Fe 0.791 0.791 0.832
Ni 0.356 0.356 0.567
Ni 0.644 0.644 0.433
Pd 0.083 0.083 0.718
Pd 0.500 0.500 0.000
Pd 0.917 0.917 0.282

Values from the calculation:
- total magnetic moment (μB/cell) = 8.375
- total DFT energy (no corrections) (eV per atom) = -6.335
- DOS(E_F) (states/eV/atom) = 0.96
- density (g/cm³) = 9.7

***

FeNi6Pd: relaxed, PBE.

a = 3.598 Å, b = 3.598 Å, c = 7.186 Å
α = 90.00°, β = 90.00°, γ = 90.00°
Element x y z (fractional)
Fe 0.000 0.000 0.000
Ni 0.000 0.500 0.239
Ni 0.000 0.500 0.761
Ni 0.500 0.000 0.239
Ni 0.500 0.000 0.761
Ni 0.500 0.500 0.000
Ni 0.500 0.500 0.500
Pd 0.000 0.000 0.500

Values from the calculation:
- total magnetic moment (μB/cell) = 7.235
- total DFT energy (no corrections) (eV per atom) = -6.066
- excess energy over the best structure of this formula in the dataset (meV/atom) = 0.0
- DOS(E_F) (states/eV/atom) = 1.37
- density (g/cm³) = 9.2

***

FeNiPd2: relaxed, PBE.

a = 5.461 Å, b = 5.461 Å, c = 5.461 Å
α = 103.42°, β = 103.42°, γ = 122.41°
Element x y z (fractional)
Fe 0.000 0.000 0.000
Fe 0.750 0.250 0.500
Ni 0.250 0.750 0.500
Ni 0.500 0.500 0.000
Pd 0.121 0.125 0.496
Pd 0.375 0.879 0.004
Pd 0.629 0.625 0.504
Pd 0.875 0.371 0.996

Values from the calculation:
- total magnetic moment (μB/cell) = 8.655
- total DFT energy (no corrections) (eV per atom) = -5.799
- DOS(E_F) (states/eV/atom) = 0.83
- density (g/cm³) = 9.0

***

FeNi5Pd8: relaxed, PBE.

a = 6.436 Å, b = 6.436 Å, c = 6.858 Å
α = 121.67°, β = 121.67°, γ = 83.11°
Element x y z (fractional)
Fe 0.000 0.000 0.000
Ni 0.138 0.435 0.402
Ni 0.337 0.420 0.175
Ni 0.565 0.862 0.598
Ni 0.580 0.663 0.825
Ni 0.908 0.092 0.500
Pd 0.102 0.790 0.246
Pd 0.210 0.898 0.754
Pd 0.343 0.294 0.742
Pd 0.458 0.123 0.353
Pd 0.682 0.159 0.113
Pd 0.706 0.657 0.258
Pd 0.841 0.318 0.887
Pd 0.877 0.542 0.647

Values from the calculation:
- total magnetic moment (μB/cell) = 9.385
- total DFT energy (no corrections) (eV per atom) = -5.509
- DOS(E_F) (states/eV/atom) = 1.46
- density (g/cm³) = 9.9

***

FeNiPd14: relaxed, PBE.

a = 9.065 Å, b = 5.536 Å, c = 5.536 Å
α = 60.34°, β = 90.00°, γ = 90.00°
Element x y z (fractional)
Fe 0.000 0.000 0.000
Ni 0.000 0.501 0.501
Pd 0.000 0.006 0.505
Pd 0.000 0.505 0.006
Pd 0.238 0.330 0.831
Pd 0.238 0.831 0.330
Pd 0.247 0.834 0.834
Pd 0.248 0.334 0.334
Pd 0.500 0.164 0.164
Pd 0.500 0.164 0.664
Pd 0.500 0.663 0.663
Pd 0.500 0.664 0.164
Pd 0.752 0.334 0.334
Pd 0.753 0.834 0.834
Pd 0.762 0.330 0.831
Pd 0.762 0.831 0.330

Values from the calculation:
- total magnetic moment (μB/cell) = 7.814
- total DFT energy (no corrections) (eV per atom) = -5.441
- DOS(E_F) (states/eV/atom) = 1.62
- density (g/cm³) = 11.0